Entry 1:
Density functional theory data (PBE) for a relaxed Pr4MgGa2 crystal.

Structure (CIF):
```
data_Pr4MgGa2
_cell_length_a 5.267
_cell_length_b 5.267
_cell_length_c 8.949
_cell_angle_alpha 72.89
_cell_angle_beta 72.89
_cell_angle_gamma 60.00
_symmetry_space_group_name_H-M 'P 1'
_symmetry_Int_Tables_number 1
_symmetry_space_group_name_Hall 'P 1'
loop_
_atom_site_label
_atom_site_type_symbol
_atom_site_fract_x
_atom_site_fract_y
_atom_site_fract_z
Pr1 Pr 0.867 0.867 0.400
Pr2 Pr 0.133 0.133 0.600
Pr3 Pr 0.614 0.614 0.158
Pr4 Pr 0.386 0.386 0.842
Mg1 Mg 0.000 0.000 0.000
Ga1 Ga 0.742 0.742 0.773
Ga2 Ga 0.258 0.258 0.227
```

Values from the calculation:
VASP energy in eV per cell: -29.0
ΔE_f in eV/atom: -0.322
Space-group type: R-3m, No. 166
Calculated density in g/cm3: 5.97

=====

Entry 2:
Density functional theory data (PBE) for a relaxed SrMgAl2 crystal.

Structure (CIF):
```
data_SrMgAl2
_cell_length_a 5.119
_cell_length_b 5.119
_cell_length_c 5.119
_cell_angle_alpha 120.10
_cell_angle_beta 120.10
_cell_angle_gamma 89.83
_symmetry_space_group_name_H-M 'P 1'
_symmetry_Int_Tables_number 1
_symmetry_space_group_name_Hall 'P 1'
loop_
_atom_site_label
_atom_site_type_symbol
_atom_site_fract_x
_atom_site_fract_y
_atom_site_fract_z
Al1 Al 0.000 0.000 0.000
Al2 Al 0.250 0.750 0.500
Mg1 Mg 0.500 0.500 0.000
Sr1 Sr 0.750 0.250 0.500
```

Values from the calculation:
VASP energy in eV per cell: -10.6
ΔE_f in eV/atom: 0.044
Space-group type: I-4m2, No. 119
Calculated density in g/cm3: 2.91

=====

Entry 3:
Density functional theory data (PBE) for a relaxed Pr2SmErBi4 crystal.

Structure (CIF):
```
data_Pr2SmErBi4
_cell_length_a 4.578
_cell_length_b 7.923
_cell_length_c 7.916
_cell_angle_alpha 109.50
_cell_angle_beta 90.00
_cell_angle_gamma 90.00
_symmetry_space_group_name_H-M 'P 1'
_symmetry_Int_Tables_number 1
_symmetry_space_group_name_Hall 'P 1'
loop_
_atom_site_label
_atom_site_type_symbol
_atom_site_fract_x
_atom_site_fract_y
_atom_site_fract_z
Pr1 Pr 0.500 0.000 0.500
Pr2 Pr 0.000 0.500 0.500
Sm1 Sm 0.000 0.000 0.000
Er1 Er 0.500 0.500 0.000
Bi1 Bi 0.500 0.251 0.242
Bi2 Bi 0.500 0.749 0.758
Bi3 Bi 0.000 0.257 0.760
Bi4 Bi 0.000 0.743 0.240
```

Values from the calculation:
VASP energy in eV per cell: -41.6
ΔE_f in eV/atom: -0.910
Space-group type: P2/m, No. 10
Calculated density in g/cm3: 8.81

=====

Entry 4:
Density functional theory data (PBE) for a relaxed CsNaCuI4 crystal.

Structure (CIF):
```
data_CsNaCuI4
_cell_length_a 8.265
_cell_length_b 7.037
_cell_length_c 10.461
_cell_angle_alpha 90.00
_cell_angle_beta 106.14
_cell_angle_gamma 90.00
_symmetry_space_group_name_H-M 'P 1'
_symmetry_Int_Tables_number 1
_symmetry_space_group_name_Hall 'P 1'
loop_
_atom_site_label
_atom_site_type_symbol
_atom_site_fract_x
_atom_site_fract_y
_atom_site_fract_z
Cs1 Cs 0.735 0.750 0.940
Cs2 Cs 0.265 0.250 0.060
Na1 Na 0.701 0.750 0.437
Na2 Na 0.299 0.250 0.563
Cu1 Cu 0.234 0.750 0.332
Cu2 Cu 0.766 0.250 0.668
I1 I 0.000 0.506 0.716
I2 I 0.000 0.006 0.284
I3 I 0.000 0.494 0.284
I4 I 0.000 0.994 0.716
I5 I 0.417 0.750 0.160
I6 I 0.583 0.250 0.840
I7 I 0.413 0.750 0.579
I8 I 0.587 0.250 0.421
```

Values from the calculation:
VASP energy in eV per cell: -36.5
Space-group type: P2_1/m, No. 11
Calculated density in g/cm3: 4.13
ΔE_f (raw) in kcal/mol of atoms: -19.02

=====

Entry 5:
Density functional theory data (PBE) for a relaxed KP3Pt crystal.

Structure (CIF):
```
data_KP3Pt
_cell_length_a 4.867
_cell_length_b 4.867
_cell_length_c 4.867
_cell_angle_alpha 90.00
_cell_angle_beta 90.00
_cell_angle_gamma 90.00
_symmetry_space_group_name_H-M 'P 1'
_symmetry_Int_Tables_number 1
_symmetry_space_group_name_Hall 'P 1'
loop_
_atom_site_label
_atom_site_type_symbol
_atom_site_fract_x
_atom_site_fract_y
_atom_site_fract_z
P1 P 0.000 0.500 0.000
P2 P 0.000 0.000 0.500
P3 P 0.500 0.000 0.000
K1 K 0.500 0.500 0.500
Pt1 Pt 0.000 0.000 0.000
```

Values from the calculation:
VASP energy in eV per cell: -21.1
ΔE_f in eV/atom: 0.448
Space-group type: Pm-3m, No. 221
Calculated density in g/cm3: 4.71

=====

Entry 6:
Density functional theory data (PBE) for a relaxed Ba2Tl2Hg4Pb crystal.

Structure (CIF):
```
data_Ba2Tl2Hg4Pb
_cell_length_a 7.541
_cell_length_b 7.541
_cell_length_c 7.541
_cell_angle_alpha 89.33
_cell_angle_beta 120.39
_cell_angle_gamma 120.39
_symmetry_space_group_name_H-M 'P 1'
_symmetry_Int_Tables_number 1
_symmetry_space_group_name_Hall 'P 1'
loop_
_atom_site_label
_atom_site_type_symbol
_atom_site_fract_x
_atom_site_fract_y
_atom_site_fract_z
Ba1 Ba 0.500 0.750 0.250
Ba2 Ba 0.500 0.250 0.750
Tl1 Tl 0.000 0.705 0.705
Tl2 Tl 0.000 0.295 0.295
Hg1 Hg 0.000 0.714 0.286
Hg2 Hg 0.427 0.714 0.714
Hg3 Hg 0.000 0.286 0.714
Hg4 Hg 0.573 0.286 0.286
Pb1 Pb 0.000 0.000 0.000
```

Values from the calculation:
VASP energy in eV per cell: -16.1
ΔE_f in eV/atom: -0.287
Space-group type: I4/mmm, No. 139
Calculated density in g/cm3: 9.33

=====

Entry 7:
Density functional theory data (PBE) for a relaxed TlSiHg crystal.

Structure (CIF):
```
data_TlSiHg
_cell_length_a 6.280
_cell_length_b 6.280
_cell_length_c 6.280
_cell_angle_alpha 150.97
_cell_angle_beta 141.66
_cell_angle_gamma 48.80
_symmetry_space_group_name_H-M 'P 1'
_symmetry_Int_Tables_number 1
_symmetry_space_group_name_Hall 'P 1'
loop_
_atom_site_label
_atom_site_type_symbol
_atom_site_fract_x
_atom_site_fract_y
_atom_site_fract_z
Hg1 Hg 0.967 0.967 0.000
Si1 Si 0.361 0.361 0.000
Tl1 Tl 0.672 0.672 0.000
```

Values from the calculation:
VASP energy in eV per cell: -6.8
Space-group type: Imm2, No. 44
Calculated density in g/cm3: 9.68
ΔE_f (raw) in kcal/mol of atoms: 10.15

=====

Entry 8:
Density functional theory data (PBE) for a relaxed VTc2Mo crystal.

Structure (CIF):
```
data_VTc2Mo
_cell_length_a 5.778
_cell_length_b 5.778
_cell_length_c 5.778
_cell_angle_alpha 53.03
_cell_angle_beta 151.98
_cell_angle_gamma 135.95
_symmetry_space_group_name_H-M 'P 1'
_symmetry_Int_Tables_number 1
_symmetry_space_group_name_Hall 'P 1'
loop_
_atom_site_label
_atom_site_type_symbol
_atom_site_fract_x
_atom_site_fract_y
_atom_site_fract_z
V1 V 0.000 0.000 0.000
Tc1 Tc 0.000 0.217 0.217
Tc2 Tc 0.000 0.783 0.783
Mo1 Mo 0.000 0.500 0.500
```

Values from the calculation:
VASP energy in eV per cell: -38.3
ΔE_f in eV/atom: 0.606
Space-group type: Immm, No. 71
Calculated density in g/cm3: 9.08